1.
# GGA-PBE ZrGaTc, relaxed
# ΔE_f, kJ/mol of formula units: -88
# Relative energy among the computed polymorphs, meV per atom: 170
# D(E_F), states/eV/f.u.: 2.0
data_ZrGaTc
_chemical_formula_sum 'Zr2 Ga2 Tc2'
_cell_length_a 4.6006
_cell_length_b 4.6006
_cell_length_c 5.6468
_cell_angle_alpha 90.00
_cell_angle_beta 90.00
_cell_angle_gamma 120.00
_symmetry_space_group_name_H-M 'P -3 m 1'
_symmetry_Int_Tables_number 164
_symmetry_space_group_name_Hall '-P 3 2"'
loop_
_atom_site_label
_atom_site_type_symbol
_atom_site_fract_x
_atom_site_fract_y
_atom_site_fract_z
Zr1 Zr 0.3333 0.6667 0.3115
Ga1 Ga 0.0000 0.0000 0.0000
Ga2 Ga 0.0000 0.0000 0.5000
Tc1 Tc 0.3333 0.6667 0.8221

***

2.
# GGA-PBE ZrGaTc, relaxed
# ΔE_f, kJ/mol of formula units: -100
# Relative energy among the computed polymorphs, meV per atom: 128
# D(E_F), states/eV/f.u.: 0.9
data_ZrGaTc
_chemical_formula_sum 'Zr8 Ga8 Tc8'
_cell_length_a 5.086
_cell_length_b 9.731
_cell_length_c 8.410
_cell_angle_alpha 90.00
_cell_angle_beta 90.00
_cell_angle_gamma 90.00
_symmetry_space_group_name_H-M 'F d d 2'
_symmetry_Int_Tables_number 43
_symmetry_space_group_name_Hall 'F 2 -2d'
loop_
_atom_site_label
_atom_site_type_symbol
_atom_site_fract_x
_atom_site_fract_y
_atom_site_fract_z
Zr1 Zr 0.000 0.000 0.000
Ga1 Ga 0.000 0.000 0.345
Tc1 Tc 0.000 0.000 0.673

***

3.
# GGA-PBE ZrGaTc, relaxed
# ΔE_f, kJ/mol of formula units: -93
# Relative energy among the computed polymorphs, meV per atom: 152
# D(E_F), states/eV/f.u.: 2.0
data_ZrGaTc
_chemical_formula_sum 'Zr4 Ga4 Tc4'
_cell_length_a 9.147
_cell_length_b 4.367
_cell_length_c 5.551
_cell_angle_alpha 90.00
_cell_angle_beta 107.98
_cell_angle_gamma 90.00
_symmetry_space_group_name_H-M 'C 1 m 1'
_symmetry_Int_Tables_number 8
_symmetry_space_group_name_Hall 'C -2y'
loop_
_atom_site_label
_atom_site_type_symbol
_atom_site_fract_x
_atom_site_fract_y
_atom_site_fract_z
Zr1 Zr 0.000 0.000 0.000
Zr2 Zr 0.226 0.500 0.368
Ga1 Ga 0.075 0.000 0.553
Ga2 Ga 0.327 0.000 0.112
Tc1 Tc 0.190 0.500 0.847
Tc2 Tc 0.395 0.000 0.673

***

4.
# GGA-PBE ZrGa3Tc, relaxed
# ΔE_f, kJ/mol of formula units: 113
# Relative energy among the computed polymorphs, meV per atom: 399
# D(E_F), states/eV/f.u.: 2.2
data_ZrGa3Tc
_chemical_formula_sum 'Zr1 Ga3 Tc1'
_cell_length_a 4.691
_cell_length_b 4.691
_cell_length_c 4.691
_cell_angle_alpha 90.00
_cell_angle_beta 90.00
_cell_angle_gamma 90.00
_symmetry_space_group_name_H-M 'P m -3 m'
_symmetry_Int_Tables_number 221
_symmetry_space_group_name_Hall '-P 4 2 3'
loop_
_atom_site_label
_atom_site_type_symbol
_atom_site_fract_x
_atom_site_fract_y
_atom_site_fract_z
Zr1 Zr 0.000 0.000 0.000
Ga1 Ga 0.000 0.500 0.500
Tc1 Tc 0.500 0.500 0.500

***

5.
# GGA-PBE ZrGaTc2, relaxed
# ΔE_f, kJ/mol of formula units: 159
# D(E_F), states/eV/f.u.: 7.7
data_ZrGaTc2
_chemical_formula_sum 'Zr4 Ga4 Tc8'
_cell_length_a 7.143
_cell_length_b 7.143
_cell_length_c 5.510
_cell_angle_alpha 90.00
_cell_angle_beta 90.00
_cell_angle_gamma 90.00
_symmetry_space_group_name_H-M 'I -4 2 d'
_symmetry_Int_Tables_number 122
_symmetry_space_group_name_Hall 'I -4 2bw'
loop_
_atom_site_label
_atom_site_type_symbol
_atom_site_fract_x
_atom_site_fract_y
_atom_site_fract_z
Zr1 Zr 0.000 0.000 0.000
Ga1 Ga 0.000 0.000 0.500
Tc1 Tc 0.217 0.250 0.625

***

6.
# GGA-PBE GaTe, relaxed
# Formation energy from raw total energies, eV/f.u.: -0.73
data_GaTe
_chemical_formula_sum 'Ga4 Te4'
_cell_length_a 7.183
_cell_length_b 4.148
_cell_length_c 9.273
_cell_angle_alpha 90.00
_cell_angle_beta 104.70
_cell_angle_gamma 90.00
_symmetry_space_group_name_H-M 'C 1 2/m 1'
_symmetry_Int_Tables_number 12
_symmetry_space_group_name_Hall '-C 2y'
loop_
_atom_site_label
_atom_site_type_symbol
_atom_site_fract_x
_atom_site_fract_y
_atom_site_fract_z
Ga1 Ga 0.045 0.000 0.137
Te1 Te 0.243 0.000 0.722

***

7.
# GGA-PBE GaTe, relaxed
# Formation energy from raw total energies, eV/f.u.: -0.28
# D(E_F), states/eV/f.u.: 0.7
data_GaTe
_chemical_formula_sum 'Ga4 Te4'
_cell_length_a 7.536
_cell_length_b 3.463
_cell_length_c 9.316
_cell_angle_alpha 90.00
_cell_angle_beta 102.32
_cell_angle_gamma 90.00
_symmetry_space_group_name_H-M 'C 1 2/m 1'
_symmetry_Int_Tables_number 12
_symmetry_space_group_name_Hall '-C 2y'
loop_
_atom_site_label
_atom_site_type_symbol
_atom_site_fract_x
_atom_site_fract_y
_atom_site_fract_z
Ga1 Ga 0.243 0.000 0.389
Te1 Te 0.095 0.000 0.789

***

8.
# GGA-PBE GaTe, relaxed
# Formation energy from raw total energies, eV/f.u.: -0.73
data_GaTe
_chemical_formula_sum 'Ga4 Te4'
_cell_length_a 4.1315
_cell_length_b 4.1315
_cell_length_c 18.2193
_cell_angle_alpha 90.00
_cell_angle_beta 90.00
_cell_angle_gamma 120.00
_symmetry_space_group_name_H-M 'P 63/m m c'
_symmetry_Int_Tables_number 194
_symmetry_space_group_name_Hall '-P 6c 2c'
loop_
_atom_site_label
_atom_site_type_symbol
_atom_site_fract_x
_atom_site_fract_y
_atom_site_fract_z
Ga1 Ga 0.3333 0.6667 0.1823
Te1 Te 0.3333 0.6667 0.6124

***

9.
# GGA-PBE Ga2Te3, relaxed
# Formation energy from raw total energies, eV/f.u.: -0.01
# D(E_F), states/eV/f.u.: 0.0
data_Ga2Te3
_chemical_formula_sum 'Ga4 Te6'
_cell_length_a 6.155
_cell_length_b 7.181
_cell_length_c 7.871
_cell_angle_alpha 101.78
_cell_angle_beta 90.06
_cell_angle_gamma 115.37
_symmetry_space_group_name_H-M 'P -1'
_symmetry_Int_Tables_number 2
_symmetry_space_group_name_Hall '-P 1'
loop_
_atom_site_label
_atom_site_type_symbol
_atom_site_fract_x
_atom_site_fract_y
_atom_site_fract_z
Ga1 Ga 0.074 0.293 0.122
Ga2 Ga 0.279 0.708 0.378
Te1 Te 0.210 0.138 0.429
Te2 Te 0.337 0.500 0.750
Te3 Te 0.429 0.139 0.929

***

10.
# GGA-PBE GaTe, relaxed
# Formation energy from raw total energies, eV/f.u.: -0.19
# D(E_F), states/eV/f.u.: 0.8
data_GaTe
_chemical_formula_sum 'Ga8 Te8'
_cell_length_a 11.757
_cell_length_b 11.757
_cell_length_c 4.022
_cell_angle_alpha 90.00
_cell_angle_beta 90.00
_cell_angle_gamma 90.00
_symmetry_space_group_name_H-M 'I 4/m'
_symmetry_Int_Tables_number 87
_symmetry_space_group_name_Hall '-I 4'
loop_
_atom_site_label
_atom_site_type_symbol
_atom_site_fract_x
_atom_site_fract_y
_atom_site_fract_z
Ga1 Ga 0.175 0.318 0.000
Te1 Te 0.035 0.249 0.500

***

11.
# GGA-PBE GaTe, relaxed
# Formation energy from raw total energies, eV/f.u.: -0.33
# D(E_F), states/eV/f.u.: 0.7
data_GaTe
_chemical_formula_sum 'Ga6 Te6'
_cell_length_a 4.185
_cell_length_b 13.084
_cell_length_c 6.720
_cell_angle_alpha 90.00
_cell_angle_beta 90.00
_cell_angle_gamma 90.00
_symmetry_space_group_name_H-M 'I m m 2'
_symmetry_Int_Tables_number 44
_symmetry_space_group_name_Hall 'I 2 -2'
loop_
_atom_site_label
_atom_site_type_symbol
_atom_site_fract_x
_atom_site_fract_y
_atom_site_fract_z
Ga1 Ga 0.000 0.000 0.000
Ga2 Ga 0.000 0.300 0.297
Te1 Te 0.000 0.328 0.702
Te2 Te 0.000 0.500 0.173

***

12.
# GGA-PBE Ga2Te3, relaxed
# Formation energy from raw total energies, eV/f.u.: -1.61
data_Ga2Te3
_chemical_formula_sum 'Ga8 Te12'
_cell_length_a 7.354
_cell_length_b 12.875
_cell_length_c 7.321
_cell_angle_alpha 90.00
_cell_angle_beta 108.87
_cell_angle_gamma 90.00
_symmetry_space_group_name_H-M 'C 1 c 1'
_symmetry_Int_Tables_number 9
_symmetry_space_group_name_Hall 'C -2yc'
loop_
_atom_site_label
_atom_site_type_symbol
_atom_site_fract_x
_atom_site_fract_y
_atom_site_fract_z
Ga1 Ga 0.000 0.087 0.000
Ga2 Ga 0.471 0.251 0.995
Te1 Te 0.331 0.423 0.112
Te2 Te 0.361 0.236 0.607
Te3 Te 0.372 0.085 0.143

***

Ρ per entry: 8.31, 8.27, 8.15, 6.41, 8.43, 4.90, 5.52, 4.87, 5.66, 4.71, 5.34, 5.29 g cm⁻³